# 1
La2AlC (PBE, relaxed); E_form = 0.13 eV per atom; magnetic moment = 0.00 Bohr magnetons per cell
1.0
7.4295 0.0000 0.0000
0.0000 7.4295 0.0000
3.7148 3.7148 3.9695
C Al La
2 2 4
Direct
0.5000 0.5000 0.0000
0.2500 0.7500 0.5000
0.0000 0.0000 0.0000
0.7500 0.2500 0.5000
0.5437 0.1250 0.2500
0.2063 0.6250 0.2500
0.3750 0.4563 0.7500
0.8750 0.7937 0.7500

=====

# 2
La2AlC (PBE, relaxed); E_form = 0.55 eV per atom; magnetic moment = 0.00 Bohr magnetons per cell
1.0
-0.9158 -4.9776 -0.0732
-2.9348 -2.0859 3.5575
-4.6103 -1.7076 -1.2038
C Al La
1 1 2
Direct
0.0000 0.0000 0.0000
0.5000 0.5000 0.5000
0.2500 0.2500 0.2500
0.7500 0.7500 0.7500

=====

# 3
LaAlC3 (PBE, relaxed); E_form = 2.79 eV per atom; magnetic moment = 0.00 Bohr magnetons per cell
1.0
4.4748 0.0000 0.0000
0.0000 4.4748 0.0000
0.0000 0.0000 4.4748
C Al La
3 1 1
Direct
0.0000 0.5000 0.0000
0.0000 0.0000 0.5000
0.5000 0.0000 0.0000
0.5000 0.5000 0.5000
0.0000 0.0000 0.0000

=====

# 4
LaAl2C2 (PBE, relaxed); E_form = 1.11 eV per atom; magnetic moment = 0.00 Bohr magnetons per cell
1.0
6.9505 0.0000 0.0000
0.0000 6.9505 0.0000
0.0000 0.0000 2.9797
C Al La
4 4 2
Direct
0.1366 0.6366 0.5000
0.6366 0.8634 0.5000
0.8634 0.3634 0.5000
0.3634 0.1366 0.5000
0.3824 0.8824 0.0000
0.8824 0.6176 0.0000
0.6176 0.1176 0.0000
0.1176 0.3824 0.0000
0.0000 0.0000 0.0000
0.5000 0.5000 0.0000

=====

# 5
La12Al3C5 (PBE, relaxed); E_form = -0.01 eV per atom; magnetic moment = 0.00 Bohr magnetons per cell
1.0
14.4691 0.0000 0.0000
-4.8230 13.6416 0.0000
-4.8230 -6.8208 11.8140
Al C La
12 20 48
Direct
0.7500 0.3750 0.1250
0.8750 0.7500 0.1250
0.3750 0.7500 0.6250
0.2500 0.1250 0.3750
0.8750 0.1250 0.2500
0.3750 0.6250 0.2500
0.6250 0.3750 0.7500
0.1250 0.8750 0.7500
0.7500 0.8750 0.6250
0.6250 0.2500 0.3750
0.1250 0.2500 0.8750
0.2500 0.6250 0.8750
0.1250 0.3750 0.2500
0.0000 0.5000 0.0000
0.0000 0.0000 0.0000
0.3750 0.2500 0.1250
0.5000 0.0000 0.5000
0.5000 0.5000 0.0000
0.1250 0.7500 0.3750
0.7500 0.1250 0.8750
0.7500 0.6250 0.3750
0.3750 0.1250 0.7500
0.6250 0.8750 0.2500
0.5000 0.5000 0.5000
0.5000 0.0000 0.0000
0.0000 0.0000 0.5000
0.2500 0.3750 0.6250
0.2500 0.8750 0.1250
0.0000 0.5000 0.5000
0.8750 0.2500 0.6250
0.6250 0.7500 0.8750
0.8750 0.6250 0.7500
0.7024 0.1159 0.0208
0.3184 0.5208 0.4049
0.9792 0.3841 0.2976
0.5208 0.2024 0.1159
0.5864 0.7024 0.6816
0.9792 0.5951 0.1816
0.3184 0.7976 0.4136
0.0951 0.9136 0.1159
0.5951 0.9792 0.6816
0.7024 0.5864 0.1816
0.7976 0.4792 0.3841
0.8184 0.9049 0.0208
0.1159 0.7024 0.5208
0.3841 0.4049 0.0864
0.0864 0.9049 0.3841
0.4136 0.1159 0.5951
0.0864 0.1816 0.2024
0.4792 0.6816 0.0951
0.8184 0.9136 0.2976
0.1159 0.4136 0.0951
0.3841 0.9792 0.7976
0.5951 0.6159 0.4136
0.9049 0.8184 0.5208
0.7976 0.3184 0.9136
0.4049 0.3841 0.5864
0.0951 0.1816 0.4792
0.2024 0.6816 0.0864
0.1816 0.0864 0.7024
0.6159 0.0208 0.2024
0.8841 0.5864 0.9049
0.5208 0.3184 0.9049
0.5864 0.8841 0.4049
0.9136 0.8184 0.7976
0.9136 0.0951 0.6159
0.8841 0.2976 0.4792
0.1816 0.0951 0.9792
0.6159 0.5951 0.9136
0.4049 0.0208 0.3184
0.2976 0.4136 0.8184
0.2024 0.5208 0.6159
0.9049 0.0864 0.8841
0.6816 0.2024 0.5864
0.4792 0.7976 0.8841
0.0208 0.4049 0.8184
0.4136 0.2976 0.3184
0.0208 0.6159 0.7024
0.6816 0.4792 0.5951
0.2976 0.8841 0.9792

=====

# 6
LaAl3C (PBE, relaxed); E_form = 2.58 eV per atom; magnetic moment = 0.00 Bohr magnetons per cell
1.0
-3.4563 4.5672 0.0241
-4.2462 -3.2021 -2.1267
-1.6823 -1.3012 5.3182
C Al La
1 3 1
Direct
0.5000 0.5000 0.5000
0.0000 0.5000 0.0000
0.0000 0.0000 0.5000
0.5000 0.0000 0.0000
0.0000 0.0000 0.0000

=====

# 7
LiLa2AlC (PBE, relaxed); E_form = -0.05 eV per atom; magnetic moment = 0.00 Bohr magnetons per cell
1.0
5.3767 0.0000 0.0000
0.0000 5.3767 0.0000
0.0000 0.0000 4.0282
C Li Al La
1 1 1 2
Direct
0.0000 0.0000 0.0000
0.5000 0.5000 0.5000
0.0000 0.0000 0.5000
0.0000 0.5000 0.0000
0.5000 0.0000 0.0000

=====

# 8
LiLa2AlC (PBE, relaxed); E_form = -0.01 eV per atom; magnetic moment = 0.00 Bohr magnetons per cell
1.0
5.2200 0.0000 0.0000
0.0000 5.2200 0.0000
0.0000 0.0000 4.2902
C Li Al La
1 1 1 2
Direct
0.0000 0.0000 0.0000
0.0000 0.0000 0.5000
0.5000 0.5000 0.5000
0.0000 0.5000 0.0000
0.5000 0.0000 0.0000

=====

# 9
La2MgAlC (PBE, relaxed); E_form = -0.10 eV per atom; magnetic moment = 0.00 Bohr magnetons per cell
1.0
-0.4299 -1.0004 -5.3297
4.7510 -2.6470 0.1136
-1.9350 -3.4388 0.8016
C Mg Al La
1 1 1 2
Direct
0.0000 0.0000 0.0000
0.5000 0.5000 0.5000
0.0000 0.0000 0.5000
0.0000 0.5000 0.0000
0.5000 0.0000 0.0000

=====

# 10
La2MgAlC (PBE, relaxed); E_form = -0.10 eV per atom; magnetic moment = 0.00 Bohr magnetons per cell
1.0
-1.2188 1.8975 4.7705
-0.6723 -4.9199 1.7851
4.2383 -0.1628 1.1476
C Mg Al La
1 1 1 2
Direct
0.0000 0.0000 0.0000
0.0000 0.0000 0.5000
0.5000 0.5000 0.5000
0.0000 0.5000 0.0000
0.5000 0.0000 0.0000

=====

# 11
La2MnAlC (PBE, relaxed); E_form = -0.14 eV per atom; magnetic moment = 1.91 Bohr magnetons per cell
1.0
-5.0908 -1.7516 -0.0718
0.1564 -0.2342 -5.3768
1.2388 -3.6083 0.1932
C Mn Al La
1 1 1 2
Direct
0.0000 0.0000 0.0000
0.0000 0.0000 0.5000
0.5000 0.5000 0.5000
0.0000 0.5000 0.0000
0.5000 0.0000 0.0000

=====

# 12
La2MnAlC (PBE, relaxed); E_form = 0.82 eV per atom; magnetic moment = 1.17 Bohr magnetons per cell
1.0
5.0317 0.0000 0.0000
0.0000 4.5645 0.0000
0.0000 0.0000 5.0317
C Mn Al La
1 1 1 2
Direct
0.5000 0.5000 0.5000
0.0000 0.0000 0.0000
0.0000 0.5000 0.0000
0.0000 0.0000 0.5000
0.5000 0.0000 0.0000

=====

Please write out number 11 again, unchanged.
La2MnAlC (PBE, relaxed); E_form = -0.14 eV per atom; magnetic moment = 1.91 Bohr magnetons per cell
1.0
-5.0908 -1.7516 -0.0718
0.1564 -0.2342 -5.3768
1.2388 -3.6083 0.1932
C Mn Al La
1 1 1 2
Direct
0.0000 0.0000 0.0000
0.0000 0.0000 0.5000
0.5000 0.5000 0.5000
0.0000 0.5000 0.0000
0.5000 0.0000 0.0000